VASP calculation (PBE-GGA) on a geometry-optimized SrMg6Hg6 structure.

abc: 6.146 7.734 7.734
angles: 76.69 66.59 66.59
Fractional coordinates of all 13 atoms:
Hg  0.664  0.336  0.336
Hg  0.329  0.171  0.171
Hg  0.000  0.339  0.661
Hg  0.671  0.829  0.829
Hg  0.000  0.661  0.339
Hg  0.336  0.664  0.664
Mg  0.500  0.000  0.500
Mg  0.500  0.750  0.250
Mg  0.000  0.000  0.500
Mg  0.500  0.250  0.750
Mg  0.000  0.500  0.000
Mg  0.500  0.500  0.000
Sr  0.000  0.000  0.000

Values from the calculation:
* ΔE_f: -0.2516 eV/atom
* density of states at the Fermi level: 5.35 states/eV/cell
* SG: Immm
* calculated volume: 23.73 Å³ per atom